## A
Sr2Al2Ir (PBE, optimized geometry); space group = I4/mmm, No. 139; V = 120.3 Å³/cell; size of the total moment = 0.000 μB/atom
1.0
-0.559 -2.624 3.117
4.014 -0.892 -0.031
2.932 3.499 6.185
Ir Al Sr
1 2 2
Direct
0.000 0.000 0.000
0.584 0.584 0.833
0.416 0.416 0.167
0.250 0.750 0.500
0.750 0.250 0.500


## B
Sr2Al2Ir (PBE, optimized geometry); space group = R-3m, No. 166; V = 153.0 Å³/cell; size of the total moment = 0.000 μB/atom
1.0
-1.818 0.346 -3.888
-4.053 -1.320 -0.606
-5.129 8.374 0.759
Sr Al Ir
2 2 1
Direct
0.570 0.570 0.289
0.430 0.430 0.711
0.315 0.315 0.056
0.685 0.685 0.944
0.000 0.000 0.000


## C
Sr2Al2Ir (PBE, optimized geometry); space group = P4/mbm, No. 127; V = 245.9 Å³/cell; size of the total moment = 0.000 μB/atom
1.0
-0.716 -4.344 5.229
-4.680 -3.499 -3.547
3.797 -3.043 -2.008
Al Sr Ir
4 4 2
Direct
0.357 0.857 0.000
0.143 0.357 0.000
0.643 0.143 0.000
0.857 0.643 0.000
0.184 0.684 0.500
0.684 0.816 0.500
0.316 0.184 0.500
0.816 0.316 0.500
0.500 0.500 0.000
0.000 0.000 0.000


Stability ranking, top entry: B; the second entry is 27.8 kJ/mol of atoms less favorable.


## A
SrAlIr3 (PBE, optimized geometry); space group = Pm-3m, No. 221; V = 122.0 Å³/cell; size of the total moment = 0.385 μB/atom
1.0
-3.505 -1.191 -3.300
0.518 -4.789 1.178
-3.470 0.488 3.509
Sr Ir Al
1 3 1
Direct
0.000 0.000 0.000
0.500 0.000 0.000
0.000 0.500 0.000
0.000 0.000 0.500
0.500 0.500 0.500


## B
SrAlIr3 (PBE, optimized geometry); space group = Pm-3m, No. 221; V = 98.8 Å³/cell; size of the total moment = 0.000 μB/atom
1.0
-2.202 -2.349 3.319
3.737 0.318 2.704
-1.602 3.970 1.747
Sr Ir Al
1 3 1
Direct
0.500 0.500 0.500
0.500 0.000 0.000
0.000 0.000 0.500
0.000 0.500 0.000
0.000 0.000 0.000


Stability ranking, top entry: B; the second entry is 215.4 kJ/mol of atoms less favorable.


## A
Ta3AlIr (PBE, optimized geometry); space group = Pm-3m, No. 221; V = 97.1 Å³/cell; size of the total moment = 0.000 μB/atom
1.0
4.596 0.000 0.000
0.000 4.596 0.000
0.000 0.000 4.596
Ta Ir Al
3 1 1
Direct
0.000 0.000 0.500
0.500 0.000 0.000
0.000 0.500 0.000
0.500 0.500 0.500
0.000 0.000 0.000


## B
Ta3AlIr (PBE, optimized geometry); space group = Pm-3m, No. 221; V = 113.8 Å³/cell; size of the total moment = 0.000 μB/atom
1.0
4.845 0.000 0.000
0.000 4.845 0.000
0.000 0.000 4.845
Ta Ir Al
3 1 1
Direct
0.000 0.500 0.000
0.000 0.000 0.500
0.500 0.000 0.000
0.000 0.000 0.000
0.500 0.500 0.500


Stability ranking, top entry: B; the second entry is 33.9 kJ/mol of atoms less favorable.


## A
TaAlIr3 (PBE, optimized geometry); space group = Pm-3m, No. 221; V = 85.6 Å³/cell; size of the total moment = 0.000 μB/atom
1.0
4.408 0.000 0.000
0.000 4.408 0.000
0.000 0.000 4.408
Ir Al Ta
3 1 1
Direct
0.000 0.500 0.000
0.500 0.000 0.000
0.000 0.000 0.500
0.000 0.000 0.000
0.500 0.500 0.500


## B
TaAlIr3 (PBE, optimized geometry); space group = Pm-3m, No. 221; V = 108.6 Å³/cell; size of the total moment = 0.000 μB/atom
1.0
-3.727 -2.977 0.096
0.582 -0.879 -4.653
2.921 -3.623 1.050
Ta Ir Al
1 3 1
Direct
0.000 0.000 0.000
0.000 0.500 0.000
0.000 0.000 0.500
0.500 0.000 0.000
0.500 0.500 0.500


Stability ranking, top entry: A; the second entry is 62.6 kJ/mol of atoms less favorable.


## A
TaAl2Ir (PBE, optimized geometry); space group = P4/mmm, No. 123; V = 61.0 Å³/cell; size of the total moment = 0.000 μB/atom
1.0
-0.418 -2.807 0.767
1.254 -0.873 -2.511
6.304 -0.072 3.172
Al Ir Ta
2 1 1
Direct
0.000 0.000 0.470
0.000 0.000 0.030
0.500 0.500 0.250
0.500 0.500 0.750


## B
TaAl2Ir (PBE, optimized geometry); space group = P4/mmm, No. 123; V = 61.7 Å³/cell; size of the total moment = 0.000 μB/atom
1.0
-3.716 -1.423 -0.262
0.077 -0.916 3.881
-1.406 3.513 0.857
Ta Al Ir
1 2 1
Direct
0.000 0.500 0.500
0.500 0.500 0.000
0.000 0.000 0.000
0.500 0.000 0.500


## C
TaAl2Ir (PBE, optimized geometry); space group = Pmm2, No. 25; V = 61.5 Å³/cell; size of the total moment = 0.000 μB/atom
1.0
-0.313 2.397 -1.817
0.915 -1.773 -2.497
-6.056 -1.607 -1.076
Al Ta Ir
2 1 1
Direct
0.000 0.000 0.015
0.500 0.500 0.262
0.500 0.500 0.755
0.000 0.000 0.469


Stability ranking, top entry: A; the second entry is 11.1 kJ/mol of atoms less favorable.


## A
YTaAlIr2 (PBE, optimized geometry); space group = I-4m2, No. 119; V = 96.7 Å³/cell; size of the total moment = 0.000 μB/atom
1.0
-1.621 0.779 -3.711
1.299 -3.677 -1.339
-4.749 -0.889 4.180
Ta Al Y Ir
1 1 1 2
Direct
0.750 0.250 0.500
0.250 0.750 0.500
0.000 0.000 0.000
0.614 0.614 0.227
0.386 0.386 0.773


## B
YTaAlIr2 (PBE, optimized geometry); space group = P4/mmm, No. 123; V = 123.2 Å³/cell; size of the total moment = 0.000 μB/atom
1.0
-2.076 4.224 -0.851
-4.703 -1.961 1.741
1.056 1.414 4.446
Ir Al Ta Y
2 1 1 1
Direct
0.500 0.000 0.000
0.000 0.000 0.500
0.500 0.500 0.500
0.000 0.000 0.000
0.000 0.500 0.000


Stability ranking, top entry: A; the second entry is 169.5 kJ/mol of atoms less favorable.


## A
Al4TcIr (PBE, optimized geometry); space group = P4/mmm, No. 123; V = 206.4 Å³/cell; size of the total moment = 0.000 μB/atom
1.0
5.842 0.000 0.051
0.000 5.842 0.000
-0.054 0.000 6.047
Al Ir Tc
8 2 2
Direct
0.250 0.250 0.751
0.750 0.750 0.249
0.250 0.750 0.751
0.750 0.250 0.751
0.250 0.750 0.249
0.750 0.250 0.249
0.250 0.250 0.249
0.750 0.750 0.751
0.000 0.000 0.000
0.500 0.500 0.000
0.000 0.500 0.500
0.500 0.000 0.500


## B
Al4TcIr (PBE, optimized geometry); space group = F-43m, No. 216; V = 86.4 Å³/cell; size of the total moment = 0.002 μB/atom
1.0
-2.224 -1.157 4.282
0.357 3.062 3.888
-3.968 2.568 1.508
Al Ir Tc
4 1 1
Direct
0.375 0.375 0.875
0.875 0.375 0.375
0.375 0.875 0.375
0.375 0.375 0.375
0.750 0.750 0.750
0.000 0.000 0.000


Stability ranking, top entry: A; the second entry is 33.5 kJ/mol of atoms less favorable.


## A
AlTc3Ir (PBE, optimized geometry); space group = Pm-3m, No. 221; V = 82.3 Å³/cell; size of the total moment = 0.000 μB/atom
1.0
-0.534 -3.755 2.129
4.264 -0.123 0.851
-0.675 2.192 3.696
Tc Ir Al
3 1 1
Direct
0.000 0.000 0.500
0.500 0.000 0.000
0.000 0.500 0.000
0.500 0.500 0.500
0.000 0.000 0.000


## B
AlTc3Ir (PBE, optimized geometry); space group = Pm-3m, No. 221; V = 103.2 Å³/cell; size of the total moment = 0.348 μB/atom
1.0
-3.799 -1.991 -1.897
-1.044 -1.948 4.137
-2.544 3.773 1.135
Ir Tc Al
1 3 1
Direct
0.000 0.000 0.000
0.500 0.000 0.000
0.000 0.500 0.000
0.000 0.000 0.500
0.500 0.500 0.500


Stability ranking, top entry: A; the second entry is 22.5 kJ/mol of atoms less favorable.


## A
TiAlTcIr (PBE, optimized geometry); space group = F-43m, No. 216; V = 57.7 Å³/cell; size of the total moment = 0.000 μB/atom
1.0
-3.651 -1.167 -2.029
0.171 -1.576 -4.037
-0.831 -4.194 -0.728
Tc Ir Al Ti
1 1 1 1
Direct
0.500 0.500 0.500
0.000 0.000 0.000
0.750 0.750 0.750
0.250 0.250 0.250


## B
TiAlTcIr (PBE, optimized geometry); space group = Pmmm, No. 47; V = 57.6 Å³/cell; size of the total moment = 0.000 μB/atom
1.0
3.068 0.000 0.000
0.000 4.249 0.000
0.000 0.000 4.420
Tc Ti Al Ir
1 1 1 1
Direct
0.000 0.500 0.500
0.500 0.000 0.500
0.500 0.500 0.000
0.000 0.000 0.000


Stability ranking, top entry: A; the second entry is 1.0 kJ/mol of atoms less favorable.


## A
AlTeIr2 (PBE, optimized geometry); space group = C2/m, No. 12; V = 66.7 Å³/cell; size of the total moment = 0.000 μB/atom
1.0
-2.305 3.658 -1.278
-4.241 1.325 -0.767
-1.306 2.095 4.623
Ir Te Al
2 1 1
Direct
0.990 0.990 0.022
0.510 0.510 0.478
0.750 0.750 0.750
0.250 0.250 0.250


## B
AlTeIr2 (PBE, optimized geometry); space group = I-42d, No. 122; V = 183.8 Å³/cell; size of the total moment = 0.000 μB/atom
1.0
5.428 0.000 0.000
0.000 5.428 0.000
2.714 2.714 6.240
Al Te Ir
2 2 4
Direct
0.500 0.500 0.000
0.250 0.750 0.500
0.000 0.000 0.000
0.750 0.250 0.500
0.375 0.398 0.750
0.875 0.852 0.750
0.148 0.625 0.250
0.602 0.125 0.250


## C
AlTeIr2 (PBE, optimized geometry); space group = I4/mmm, No. 139; V = 65.6 Å³/cell; size of the total moment = 0.000 μB/atom
1.0
-4.396 -0.680 -1.635
-1.871 -2.787 3.345
2.205 4.146 0.636
Ir Al Te
2 1 1
Direct
0.500 0.500 0.000
0.000 0.000 0.000
0.750 0.250 0.500
0.250 0.750 0.500


## D
AlTeIr2 (PBE, optimized geometry); space group = Cmmm, No. 65; V = 68.6 Å³/cell; size of the total moment = 0.000 μB/atom
1.0
2.945 -0.004 0.000
-1.427 2.576 0.000
0.000 0.000 9.044
Ir Al Te
2 1 1
Direct
0.000 0.000 0.533
0.000 0.000 0.967
0.500 0.500 0.750
0.500 0.500 0.250


Stability ranking, top entry: A; the second entry is 8.5 kJ/mol of atoms less favorable.


## A
TiAlIr3 (PBE, optimized geometry); space group = Pm-3m, No. 221; V = 86.1 Å³/cell; size of the total moment = 0.000 μB/atom
1.0
4.416 0.000 0.000
0.000 4.416 0.000
0.000 0.000 4.416
Ir Al Ti
3 1 1
Direct
0.000 0.500 0.000
0.500 0.000 0.000
0.000 0.000 0.500
0.000 0.000 0.000
0.500 0.500 0.500


## B
TiAlIr3 (PBE, optimized geometry); space group = Pm-3m, No. 221; V = 94.7 Å³/cell; size of the total moment = 0.000 μB/atom
1.0
4.558 0.000 0.000
0.000 4.558 0.000
0.000 0.000 4.558
Ir Al Ti
3 1 1
Direct
0.000 0.000 0.500
0.000 0.500 0.000
0.500 0.000 0.000
0.500 0.500 0.500
0.000 0.000 0.000


Stability ranking, top entry: A; the second entry is 39.4 kJ/mol of atoms less favorable.


## A
TiAl6Ir (PBE, optimized geometry); space group = R-3m, No. 166; V = 141.0 Å³/cell; size of the total moment = 0.000 μB/atom
1.0
0.065 1.927 5.107
-5.112 0.742 -1.765
-3.054 -3.474 2.900
Al Ti Ir
6 1 1
Direct
0.714 0.166 0.286
0.286 0.834 0.714
0.714 0.714 0.834
0.834 0.286 0.714
0.286 0.286 0.166
0.166 0.714 0.286
0.500 0.500 0.500
0.000 0.000 0.000


## B
TiAl6Ir (PBE, optimized geometry); space group = Amm2, No. 38; V = 124.3 Å³/cell; size of the total moment = 0.000 μB/atom
1.0
4.163 0.000 0.000
0.000 5.475 -0.777
0.000 -0.429 5.514
Al Ti Ir
6 1 1
Direct
0.500 0.603 0.821
0.500 0.179 0.397
0.000 0.314 0.686
0.000 0.401 0.197
0.000 0.888 0.112
0.000 0.803 0.599
0.500 0.111 0.889
0.500 0.702 0.298


Stability ranking, top entry: B; the second entry is 9.6 kJ/mol of atoms less favorable.